Entry 1:
Compound: Er3FeSi6Ni2
Source: the Alexandria database
Functional: PBE
Structure: relaxed

Magnetization ... 0.123 μB/atom
V ... 17.13 Å³ per atom
E_tot ... -5.844 eV/atom
Formation energy (no corrections) ... -323 meV/atom
Symmetry ... P-3m1
DOS(E_F) ... 0.68 states/eV per atom

Unit cell a=5.615 b=5.615 c=7.530 alpha=90.00 beta=90.00 gamma=120.00
Last column: magnetic moment on the atom in μB.
Sites, in units of the cell vectors:
Er (0.333, 0.667, 0.632)  0.02
Er (0.667, 0.333, 0.368)  0.02
Er (0.000, 0.000, 0.000)  0.05
Fe (0.000, 0.000, 0.500)  1.09
Si (0.623, 0.811, 0.297)  0.00
Si (0.189, 0.377, 0.297)  0.00
Si (0.189, 0.811, 0.297)  0.00
Si (0.811, 0.623, 0.703)  0.00
Si (0.377, 0.189, 0.703)  0.00
Si (0.811, 0.189, 0.703)  0.00
Ni (0.667, 0.333, 0.950)  0.12
Ni (0.333, 0.667, 0.050)  0.12


Entry 2:
Compound: ErFeSi3Ni
Source: the Alexandria database
Functional: PBE
Structure: relaxed

Magnetization ... 0.000 μB/atom
V ... 16.49 Å³ per atom
E_tot ... -6.180 eV/atom
Formation energy (no corrections) ... -334 meV/atom
Symmetry ... Cmcm
DOS(E_F) ... 0.51 states/eV per atom

Unit cell a=5.497 b=5.981 c=6.720 alpha=116.42 beta=90.00 gamma=90.00
Sites, in units of the cell vectors:
Er (0.750, 0.216, 0.433)
Er (0.250, 0.784, 0.567)
Fe (0.250, 0.033, 0.066)
Fe (0.750, 0.967, 0.934)
Si (0.250, 0.209, 0.418)
Si (0.000, 0.294, 0.000)
Si (0.500, 0.706, 0.000)
Si (0.500, 0.294, 0.000)
Si (0.000, 0.706, 0.000)
Si (0.750, 0.791, 0.582)
Ni (0.250, 0.385, 0.770)
Ni (0.750, 0.615, 0.230)


Entry 3:
Compound: ErThFeNi
Source: the Alexandria database
Functional: PBE
Structure: relaxed

Magnetization ... 0.158 μB/atom
V ... 19.76 Å³ per atom
E_tot ... -6.683 eV/atom
Symmetry ... F-43m
DFT formation energy ... -126 meV per atom
DOS(E_F) ... 0.97 states/eV per atom

Unit cell a=4.817 b=4.817 c=4.817 alpha=60.00 beta=60.00 gamma=60.00
Last column: magnetic moment on the atom in μB.
Sites, in units of the cell vectors:
Ni (0.250, 0.250, 0.250)  0.02
Fe (0.750, 0.750, 0.750)  0.96
Th (0.500, 0.500, 0.500)  -0.11
Er (0.000, 0.000, 0.000)  -0.18


Entry 4:
Compound: ErZrFeNi
Source: the Alexandria database
Functional: PBE
Structure: relaxed

Magnetization ... 0.000 μB/atom
V ... 17.15 Å³ per atom
E_tot ... -7.019 eV/atom
Symmetry ... F-43m
DFT formation energy ... -181 meV per atom
DOS(E_F) ... 0.73 states/eV per atom

Unit cell a=4.595 b=4.595 c=4.595 alpha=60.00 beta=60.00 gamma=60.00
Sites, in units of the cell vectors:
Ni (0.000, 0.000, 0.000)
Fe (0.500, 0.500, 0.500)
Zr (0.250, 0.250, 0.250)
Er (0.750, 0.750, 0.750)


Entry 5:
Compound: Er2NpFe2
Source: the Alexandria database
Functional: PBE
Structure: relaxed

Magnetization ... 0.328 μB/atom
V ... 20.00 Å³ per atom
E_tot ... -7.870 eV/atom
Symmetry ... C2/c
DFT formation energy ... -71 meV per atom
DOS(E_F) ... 1.69 states/eV per atom

Unit cell a=5.582 b=5.582 c=7.410 alpha=81.41 beta=81.41 gamma=61.61
Last column: magnetic moment on the atom in μB.
Sites, in units of the cell vectors:
Er (0.462, 0.235, 0.151)  0.15
Er (0.765, 0.538, 0.349)  0.15
Er (0.538, 0.765, 0.849)  0.15
Er (0.235, 0.462, 0.651)  0.15
Np (0.114, 0.886, 0.250)  2.75
Np (0.886, 0.114, 0.750)  2.75
Fe (0.766, 0.997, 0.512)  -0.76
Fe (0.003, 0.234, 0.988)  -0.76
Fe (0.234, 0.003, 0.488)  -0.76
Fe (0.997, 0.766, 0.012)  -0.76


Entry 6:
Compound: ErNpFe4
Source: the Alexandria database
Functional: PBE
Structure: relaxed

Magnetization ... 0.602 μB/atom
V ... 15.34 Å³ per atom
E_tot ... -8.594 eV/atom
Polymorph energy (0 for the lowest one) ... 0 meV/atom
Symmetry ... P-3m1
DFT formation energy ... -35 meV per atom
DOS(E_F) ... 1.42 states/eV per atom

Unit cell a=5.017 b=5.017 c=8.443 alpha=90.00 beta=90.00 gamma=120.00
Last column: magnetic moment on the atom in μB.
Sites, in units of the cell vectors:
Er (0.333, 0.667, 0.431)  -0.58
Er (0.667, 0.333, 0.569)  -0.58
Np (0.667, 0.333, 0.955)  -3.73
Np (0.333, 0.667, 0.045)  -3.73
Fe (0.000, 0.000, 0.500)  2.09
Fe (0.000, 0.000, 0.000)  2.03
Fe (0.835, 0.165, 0.253)  2.03
Fe (0.835, 0.670, 0.253)  2.03
Fe (0.330, 0.165, 0.253)  2.03
Fe (0.165, 0.835, 0.747)  2.03
Fe (0.165, 0.330, 0.747)  2.03
Fe (0.670, 0.835, 0.747)  2.03


Entry 7:
Compound: ErNpFe
Source: the Alexandria database
Functional: PBE
Structure: relaxed

Magnetization ... 0.507 μB/atom
V ... 20.07 Å³ per atom
E_tot ... -8.549 eV/atom
Symmetry ... C2/m
DFT formation energy ... 106 meV per atom
DOS(E_F) ... 1.84 states/eV per atom

Unit cell a=4.685 b=5.487 c=5.724 alpha=73.82 beta=65.85 gamma=64.73
Last column: magnetic moment on the atom in μB.
Sites, in units of the cell vectors:
Np (0.373, 0.245, 0.010)  1.99
Np (0.627, 0.755, 0.990)  1.99
Fe (0.651, 0.415, 0.283)  -0.61
Fe (0.349, 0.585, 0.717)  -0.61
Er (0.909, 0.818, 0.363)  0.11
Er (0.091, 0.182, 0.637)  0.11


Entry 8:
Compound: ErNpFe4
Source: the Alexandria database
Functional: PBE
Structure: relaxed

Magnetization ... 0.587 μB/atom
V ... 15.35 Å³ per atom
E_tot ... -8.570 eV/atom
Polymorph energy (0 for the lowest one) ... 23 meV/atom
Symmetry ... F-43m
DFT formation energy ... -11 meV per atom
DOS(E_F) ... 1.96 states/eV per atom

Unit cell a=5.069 b=5.069 c=5.069 alpha=60.00 beta=60.00 gamma=60.00
Last column: magnetic moment on the atom in μB.
Sites, in units of the cell vectors:
Np (0.250, 0.250, 0.250)  -3.91
Fe (0.625, 0.625, 0.125)  2.06
Fe (0.625, 0.125, 0.625)  2.06
Fe (0.625, 0.625, 0.625)  2.06
Fe (0.125, 0.625, 0.625)  2.06
Er (0.000, 0.000, 0.000)  -0.56